# 1
The following is a DFT calculation (GGA-PBE) of Th3CdCu2 after structural relaxation.

Unit cell a=7.1318 b=7.1318 c=7.1318 alpha=71.89 beta=71.89 gamma=71.89
Closest atoms and distances in Å follow each position.
Positions (direct):
Th 0.0602 0.7500 0.4398  4 Cu 2.91-3.17, 2 Cd 3.18
Th 0.2500 0.5602 0.9398  4 Cu 2.91-3.17, 2 Cd 3.18
Th 0.4398 0.0602 0.7500  4 Cu 2.91-3.17, 2 Cd 3.18
Th 0.5602 0.9398 0.2500  4 Cu 2.91-3.17, 2 Cd 3.18
Th 0.7500 0.4398 0.0602  4 Cu 2.91-3.17, 2 Cd 3.18
Th 0.9398 0.2500 0.5602  4 Cu 2.91-3.17, 2 Cd 3.18
Cd 0.0000 0.0000 0.0000  2 Cu 2.62
Cd 0.5000 0.5000 0.5000  2 Cu 2.62
Cu 0.1665 0.1665 0.1665  1 Cd 2.62, 1 Cu 2.63, 3 Th 2.91
Cu 0.3335 0.3335 0.3335  1 Cd 2.62, 1 Cu 2.63, 3 Th 2.91
Cu 0.6665 0.6665 0.6665  1 Cd 2.62, 1 Cu 2.63, 3 Th 2.91
Cu 0.8335 0.8335 0.8335  1 Cd 2.62, 1 Cu 2.63, 3 Th 2.91

Spin magnetization   0.0000 μB/atom
Total DFT energy (no corrections)   -5.089 eV per atom
Crystal system   trigonal

=====

# 2
The following is a DFT calculation (GGA-PBE) of LiScOs2Rh after structural relaxation.

Unit cell a=4.1428 b=4.1428 c=4.2619 alpha=90.00 beta=90.00 gamma=90.00
Closest atoms and distances in Å follow each position.
Positions (direct):
Li 0.0000 0.0000 0.0000  4 Os 2.07, 2 Sc 2.13
Sc 0.0000 0.0000 0.5000  2 Li 2.13
Os 0.0000 0.5000 0.0000  2 Li 2.07
Os 0.5000 0.0000 0.0000  2 Li 2.07
Rh 0.5000 0.5000 0.5000  4 Sc 2.93, 8 Os 2.97

Spin magnetization   0.0000 μB/atom
Total DFT energy (no corrections)   -6.780 eV per atom
Crystal system   tetragonal

=====

# 3
The following is a DFT calculation (GGA-PBE) of NaMgPt2F after structural relaxation.

Unit cell a=4.6520 b=4.6520 c=5.3130 alpha=90.00 beta=90.00 gamma=90.00
Closest atoms and distances in Å follow each position.
Positions (direct):
Na 0.0000 0.0000 0.0000  4 Pt 2.33
Mg 0.0000 0.0000 0.5000  2 Na 2.66
Pt 0.0000 0.5000 0.0000  2 Na 2.33
Pt 0.5000 0.0000 0.0000  2 Na 2.33
F 0.5000 0.5000 0.5000  4 Mg 3.29, 8 Pt 3.53

Spin magnetization   0.0000 μB/atom
Total DFT energy (no corrections)   -2.491 eV per atom
Energy relative to the elements, uncorrected   0.883 eV/atom
Crystal system   tetragonal

=====

# 4
The following is a DFT calculation (GGA-PBE) of TiNbNi14 after structural relaxation.

Unit cell a=5.0850 b=5.0850 c=7.1294 alpha=90.00 beta=90.00 gamma=90.00
Closest atoms and distances in Å follow each position.
Positions (direct):
Ti 0.0000 0.0000 0.0000  12 Ni 2.54-2.56
Nb 0.5000 0.5000 0.0000  12 Ni 2.54-2.57
Ni 0.0000 0.0000 0.5000  12 Ni 2.49-2.54
Ni 0.0000 0.5000 0.0000  2 Nb 2.54, 2 Ti 2.54, 8 Ni 2.57
Ni 0.0000 0.5000 0.5000  12 Ni 2.50-2.54
Ni 0.2483 0.2483 0.2567  10 Ni 2.49-2.57, 1 Ti 2.56, 1 Nb 2.57
Ni 0.2483 0.2483 0.7433  10 Ni 2.49-2.57, 1 Ti 2.56, 1 Nb 2.57
Ni 0.2483 0.7517 0.2567  10 Ni 2.49-2.57, 1 Ti 2.56, 1 Nb 2.57
Ni 0.2483 0.7517 0.7433  10 Ni 2.49-2.57, 1 Ti 2.56, 1 Nb 2.57
Ni 0.5000 0.0000 0.0000  2 Nb 2.54, 2 Ti 2.54, 8 Ni 2.57
Ni 0.5000 0.0000 0.5000  12 Ni 2.50-2.54
Ni 0.5000 0.5000 0.5000  12 Ni 2.51-2.54
Ni 0.7517 0.2483 0.2567  10 Ni 2.49-2.57, 1 Ti 2.56, 1 Nb 2.57
Ni 0.7517 0.2483 0.7433  10 Ni 2.49-2.57, 1 Ti 2.56, 1 Nb 2.57
Ni 0.7517 0.7517 0.2567  10 Ni 2.49-2.57, 1 Ti 2.56, 1 Nb 2.57
Ni 0.7517 0.7517 0.7433  10 Ni 2.49-2.57, 1 Ti 2.56, 1 Nb 2.57

Spin magnetization   0.2607 μB/atom
Total DFT energy (no corrections)   -6.346 eV per atom
Crystal system   tetragonal

=====

# 5
The following is a DFT calculation (GGA-PBE) of Pm2OF after structural relaxation.

Unit cell a=6.3196 b=6.3196 c=6.3196 alpha=33.31 beta=33.31 gamma=33.31
Closest atoms and distances in Å follow each position.
Positions (direct):
Pm 0.2406 0.2406 0.2406  3 O 2.48, 3 F 2.67
Pm 0.7594 0.7594 0.7594  3 O 2.48, 3 F 2.67
O 0.5000 0.5000 0.5000  6 Pm 2.48
F 0.0000 0.0000 0.0000  6 Pm 2.67

Spin magnetization   0.0000 μB/atom
Total DFT energy (no corrections)   -6.528 eV per atom
Energy relative to the elements, uncorrected   -2.445 eV/atom
Crystal system   trigonal

=====

# 6
The following is a DFT calculation (GGA-PBE) of Sr2Cd2Hg after structural relaxation.

Unit cell a=6.5113 b=6.5113 c=12.2544 alpha=113.31 beta=113.31 gamma=43.40
Closest atoms and distances in Å follow each position.
Positions (direct):
Sr 0.0150 0.0150 0.3359  3 Hg 3.44-3.59, 7 Cd 3.48-3.82
Sr 0.1937 0.1937 0.1144  6 Cd 3.45-3.62, 2 Hg 3.54
Sr 0.8063 0.8063 0.8856  6 Cd 3.45-3.62, 2 Hg 3.54
Sr 0.9850 0.9850 0.6641  3 Hg 3.44-3.59, 7 Cd 3.48-3.82
Cd 0.3609 0.3609 0.4393  2 Hg 2.92, 1 Cd 3.05
Cd 0.4761 0.4761 0.1091  1 Cd 2.97, 1 Hg 3.05
Cd 0.5239 0.5239 0.8909  1 Cd 2.97, 1 Hg 3.05
Cd 0.6391 0.6391 0.5607  2 Hg 2.92, 1 Cd 3.05
Hg 0.2823 0.2823 0.6653  3 Cd 2.92-3.05
Hg 0.7177 0.7177 0.3347  3 Cd 2.92-3.05

Spin magnetization   0.0000 μB/atom
Total DFT energy (no corrections)   -1.471 eV per atom
Crystal system   monoclinic

=====

# 7
The following is a DFT calculation (GGA-PBE) of Zr3SnN after structural relaxation.

Unit cell a=5.9143 b=5.9143 c=9.1758 alpha=111.78 beta=111.78 gamma=41.66
Closest atoms and distances in Å follow each position.
Positions (direct):
Zr 0.1216 0.1216 0.4457  2 N 2.15-2.29
Zr 0.1278 0.1278 0.9364  1 N 2.24
Zr 0.3499 0.3499 0.2956  2 N 2.19
Zr 0.6501 0.6501 0.7044  2 N 2.19
Zr 0.8722 0.8722 0.0636  1 N 2.24
Zr 0.8784 0.8784 0.5543  2 N 2.15-2.29
Sn 0.3857 0.3857 0.8096  1 N 3.01, 8 Zr 3.13-3.24
Sn 0.6143 0.6143 0.1904  1 N 3.01, 8 Zr 3.13-3.24
N 0.0891 0.0891 0.6771  5 Zr 2.15-2.29
N 0.9109 0.9109 0.3229  5 Zr 2.15-2.29

Spin magnetization   0.0000 μB/atom
Total DFT energy (no corrections)   -8.372 eV per atom
Energy relative to the elements, uncorrected   -0.778 eV/atom
Crystal system   monoclinic

=====

# 8
The following is a DFT calculation (GGA-PBE) of BaScSn2 after structural relaxation.

Unit cell a=3.9546 b=3.9546 c=7.6194 alpha=90.00 beta=90.00 gamma=90.00
Closest atoms and distances in Å follow each position.
Positions (direct):
Ba 0.0000 0.0000 0.0000  8 Sn 3.65, 2 Sc 3.81, 4 Ba 3.95
Sc 0.0000 0.0000 0.5000  8 Sn 3.16
Sn 0.5000 0.5000 0.3075  1 Sn 2.93, 4 Sc 3.16
Sn 0.5000 0.5000 0.6925  1 Sn 2.93, 4 Sc 3.16

Spin magnetization   0.0000 μB/atom
Total DFT energy (no corrections)   -4.622 eV per atom
Crystal system   tetragonal

=====

# 9
The following is a DFT calculation (GGA-PBE) of Pr4Ho3ScTe8 after structural relaxation.

Unit cell a=8.9626 b=8.9626 c=8.9626 alpha=58.14 beta=58.14 gamma=58.14
Closest atoms and distances in Å follow each position.
Positions (direct):
Pr 0.0000 0.0000 0.0000  6 Te 3.25
Pr 0.0000 0.5000 0.5000  6 Te 3.20
Pr 0.5000 0.0000 0.5000  6 Te 3.20
Pr 0.5000 0.5000 0.0000  6 Te 3.20
Ho 0.0000 0.0000 0.5000  6 Te 3.05
Ho 0.0000 0.5000 0.0000  6 Te 3.05
Ho 0.5000 0.0000 0.0000  6 Te 3.05
Sc 0.5000 0.5000 0.5000  6 Te 3.00
Te 0.2445 0.2445 0.2445  3 Ho 3.05, 3 Pr 3.20
Te 0.2492 0.7400 0.7400  1 Sc 3.00, 2 Ho 3.05, 3 Pr 3.20-3.25
Te 0.2600 0.2600 0.7508  1 Sc 3.00, 2 Ho 3.05, 3 Pr 3.20-3.25
Te 0.2600 0.7508 0.2600  1 Sc 3.00, 2 Ho 3.05, 3 Pr 3.20-3.25
Te 0.7400 0.2492 0.7400  1 Sc 3.00, 2 Ho 3.05, 3 Pr 3.20-3.25
Te 0.7400 0.7400 0.2492  1 Sc 3.00, 2 Ho 3.05, 3 Pr 3.20-3.25
Te 0.7508 0.2600 0.2600  1 Sc 3.00, 2 Ho 3.05, 3 Pr 3.20-3.25
Te 0.7555 0.7555 0.7555  3 Ho 3.05, 3 Pr 3.20

Spin magnetization   0.0000 μB/atom
Total DFT energy (no corrections)   -5.344 eV per atom
Energy relative to the elements, uncorrected   -1.324 eV/atom
Crystal system   trigonal

=====

# 10
The following is a DFT calculation (GGA-PBE) of Pm4Sm5Er3 after structural relaxation.

Unit cell a=8.6790 b=8.6790 c=9.3937 alpha=114.89 beta=114.89 gamma=40.12
Closest atoms and distances in Å follow each position.
Positions (direct):
Pm 0.0824 0.0824 0.4421  2 Pm 3.32-3.69, 3 Sm 3.46-3.58, 1 Er 3.46
Pm 0.2170 0.2170 0.8788  3 Er 3.35-3.53, 3 Pm 3.61-3.69, 3 Sm 3.68-3.69
Pm 0.7830 0.7830 0.1212  3 Er 3.35-3.53, 3 Pm 3.61-3.69, 3 Sm 3.68-3.69
Pm 0.9176 0.9176 0.5579  2 Pm 3.32-3.69, 3 Sm 3.46-3.58, 1 Er 3.46
Sm 0.0000 0.0000 0.0000  4 Er 2.98-3.11
Sm 0.3276 0.3276 0.6126  4 Er 3.23-3.50, 3 Pm 3.46-3.58
Sm 0.4261 0.4261 0.2972  2 Er 3.30-3.50, 1 Sm 3.48, 2 Pm 3.69
Sm 0.5739 0.5739 0.7028  2 Er 3.30-3.50, 1 Sm 3.48, 2 Pm 3.69
Sm 0.6724 0.6724 0.3874  4 Er 3.23-3.50, 3 Pm 3.46-3.58
Er 0.2093 0.2093 0.2294  3 Sm 3.11-3.30, 2 Pm 3.35-3.46
Er 0.5000 0.5000 0.0000  2 Sm 2.98
Er 0.7907 0.7907 0.7706  3 Sm 3.11-3.30, 2 Pm 3.35-3.46

Spin magnetization   0.0002 μB/atom
Total DFT energy (no corrections)   -4.472 eV per atom
Crystal system   monoclinic

=====

# 11
The following is a DFT calculation (GGA-PBE) of NaHfSc after structural relaxation.

Unit cell a=5.7219 b=5.7219 c=5.9753 alpha=115.82 beta=115.82 gamma=60.36
Closest atoms and distances in Å follow each position.
Positions (direct):
Na 0.0000 0.0000 0.0000  2 Na 3.12, 4 Sc 3.25-3.28, 6 Hf 3.30-3.33
Na 0.8428 0.1572 0.5000  2 Na 3.12, 4 Hf 3.25-3.29, 6 Sc 3.29-3.32
Hf 0.3367 0.3357 0.9997  4 Sc 3.12-3.26, 3 Hf 3.24-3.34, 5 Na 3.25-3.33
Hf 0.6643 0.6633 0.0003  4 Sc 3.12-3.26, 3 Hf 3.24-3.34, 5 Na 3.25-3.33
Sc 0.1755 0.4940 0.4978  4 Hf 3.12-3.26, 5 Na 3.25-3.32, 3 Sc 3.26-3.34
Sc 0.5060 0.8245 0.5022  4 Hf 3.12-3.26, 5 Na 3.25-3.32, 3 Sc 3.26-3.34

Spin magnetization   0.4480 μB/atom
Total DFT energy (no corrections)   -5.310 eV per atom
Crystal system   monoclinic

=====

# 12
The following is a DFT calculation (GGA-PBE) of La2TlCo after structural relaxation.

Unit cell a=6.6217 b=6.6217 c=6.6217 alpha=148.92 beta=135.53 gamma=55.25
Closest atoms and distances in Å follow each position.
Positions (direct):
La 0.0000 0.0000 0.0000  4 Co 3.07, 2 La 3.34, 2 Tl 3.40
La 0.6883 0.1883 0.5000  2 Co 2.94
Tl 0.3045 0.8045 0.5000  2 Co 2.80
Co 0.4888 0.4888 0.0000  2 Tl 2.80, 6 La 2.94-3.07

Spin magnetization   0.1297 μB/atom
Total DFT energy (no corrections)   -4.926 eV per atom
Crystal system   orthorhombic

=====

# 13
The following is a DFT calculation (GGA-PBE) of Sm4Cd5Ag after structural relaxation.

Unit cell a=3.7256 b=3.7256 c=18.7786 alpha=90.00 beta=90.00 gamma=90.00
Closest atoms and distances in Å follow each position.
Positions (direct):
Sm 0.0000 0.0000 0.1053  8 Cd 3.27-3.29
Sm 0.0000 0.0000 0.3129  8 Cd 3.28-3.30, 1 Ag 3.51
Sm 0.0000 0.0000 0.6871  8 Cd 3.28-3.30, 1 Ag 3.51
Sm 0.0000 0.0000 0.8947  8 Cd 3.27-3.29
Cd 0.5000 0.5000 0.0000  8 Sm 3.29
Cd 0.5000 0.5000 0.2085  8 Sm 3.27-3.28
Cd 0.5000 0.5000 0.4185  4 Ag 3.05, 1 Cd 3.06, 4 Sm 3.30
Cd 0.5000 0.5000 0.5815  4 Ag 3.05, 1 Cd 3.06, 4 Sm 3.30
Cd 0.5000 0.5000 0.7915  8 Sm 3.27-3.28
Ag 0.0000 0.0000 0.5000  8 Cd 3.05

Spin magnetization   0.0044 μB/atom
Total DFT energy (no corrections)   -2.889 eV per atom
Crystal system   tetragonal